Pr3P6Pd20 after structural relaxation, computed with PBE.

Properties
- total moment (μB/f.u.) = 0.0
- E (eV per atom) = -5.879
- space group = Fm-3m (225)
- density of states at the Fermi level (states/eV/cell) = 18.84

a b c (Å): 8.759 8.759 8.759
angles (deg): 60.00 60.00 60.00
Sites, in units of the cell vectors:
Pd: 0.000 0.347 0.000
Pd: 0.841 0.386 0.386
Pd: 0.614 0.159 0.614
Pd: 0.347 0.653 0.000
Pd: 0.386 0.386 0.386
Pd: 0.653 0.347 0.000
Pd: 0.386 0.386 0.841
Pd: 0.614 0.614 0.159
Pd: 0.347 0.000 0.000
Pd: 0.000 0.653 0.000
Pd: 0.386 0.841 0.386
Pd: 0.614 0.614 0.614
Pd: 0.159 0.614 0.614
Pd: 0.000 0.653 0.347
Pd: 0.000 0.000 0.653
Pd: 0.653 0.000 0.347
Pd: 0.347 0.000 0.653
Pd: 0.653 0.000 0.000
Pd: 0.000 0.347 0.653
Pd: 0.000 0.000 0.347
P: 0.737 0.263 0.263
P: 0.263 0.737 0.263
P: 0.263 0.737 0.737
P: 0.737 0.263 0.737
P: 0.737 0.737 0.263
P: 0.263 0.263 0.737
Pr: 0.750 0.750 0.750
Pr: 0.000 0.000 0.000
Pr: 0.250 0.250 0.250